Compound: MnAgAsO4
Source: the Alexandria database
Functional: GGA+U
Structure: optimized geometry

a b c (Å): 5.555 5.555 5.555
angles (deg): 121.22 121.22 87.89
Atoms (fractional coordinates):
Mn 0.000 0.000 0.000
Ag 0.500 0.500 0.000
As 0.750 0.250 0.500
O 0.029 0.580 0.867
O 0.420 0.287 0.449
O 0.713 0.162 0.133
O 0.838 0.971 0.551

Computed properties:
Total DFT energy (no corrections), eV per atom: -6.136